CaZnNi2Se after structural relaxation, computed with PBE.

Space-group type ... No. 123
E_form (uncorrected) ... 0.06 eV/atom
Theoretical density ... 5.0 g/cm³

a b c (Å): 4.4375 5.0520 4.4375
angles (deg): 90.00 90.00 90.00
Closest atoms and distances in Å follow each position.
Element x y z (fractional)
Ni: 0.0000 0.0000 0.5000  2 Se 2.22
Ni: 0.5000 0.0000 0.0000  2 Se 2.22
Zn: 0.0000 0.5000 0.0000  2 Se 2.53
Ca: 0.5000 0.5000 0.5000  4 Zn 3.14, 8 Ni 3.36
Se: 0.0000 0.0000 0.0000  4 Ni 2.22

CaSiNi after structural relaxation, computed with PBE.

Space-group type ... No. 8
E_form (uncorrected) ... -0.52 eV/atom
Theoretical density ... 3.7 g/cm³

a b c (Å): 5.8351 3.9046 10.8034
angles (deg): 90.00 113.22 90.00
Closest atoms and distances in Å follow each position.
Element x y z (fractional)
Ca: 0.7170 0.0000 0.5859  5 Ni 2.98-3.27, 5 Si 3.01-3.11
Ca: 0.7170 0.5000 0.0859  5 Ni 2.98-3.27, 5 Si 3.01-3.11
Ca: 0.3234 0.0000 0.8030  5 Ni 2.99-3.17, 5 Si 3.00-3.24
Ca: 0.3234 0.5000 0.3030  5 Ni 2.99-3.17, 5 Si 3.00-3.24
Si: 0.1452 0.0000 0.4880  4 Ni 2.33-2.34, 1 Si 2.57
Si: 0.1452 0.5000 0.9880  4 Ni 2.33-2.34, 1 Si 2.57
Si: 0.7094 0.0000 0.2962  3 Ni 2.35-2.37, 1 Si 2.57
Si: 0.7094 0.5000 0.7962  3 Ni 2.35-2.37, 1 Si 2.57
Ni: 0.9134 0.0000 0.9059  4 Si 2.34-2.35, 1 Ni 2.53
Ni: 0.9134 0.5000 0.4059  4 Si 2.34-2.35, 1 Ni 2.53
Ni: 0.3402 0.0000 0.0966  3 Si 2.33-2.37, 1 Ni 2.53
Ni: 0.3402 0.5000 0.5966  3 Si 2.33-2.37, 1 Ni 2.53

Ca3Si2Ni after structural relaxation, computed with PBE.

Space-group type ... No. 62
E_form (uncorrected) ... -0.44 eV/atom
Theoretical density ... 2.7 g/cm³

a b c (Å): 4.1628 11.9316 11.5637
angles (deg): 90.00 90.00 90.00
Closest atoms and distances in Å follow each position.
Element x y z (fractional)
Ca: 0.2500 0.3812 0.0660  1 Ni 2.99, 4 Si 3.12-3.15
Ca: 0.7500 0.6188 0.9340  1 Ni 2.99, 4 Si 3.12-3.15
Ca: 0.7500 0.8812 0.4340  1 Ni 2.99, 4 Si 3.12-3.15
Ca: 0.2500 0.1188 0.5660  1 Ni 2.99, 4 Si 3.12-3.15
Ca: 0.2500 0.7009 0.1978  4 Si 2.95-3.13, 2 Ni 2.99
Ca: 0.7500 0.2991 0.8022  4 Si 2.95-3.13, 2 Ni 2.99
Ca: 0.7500 0.2009 0.3022  4 Si 2.95-3.13, 2 Ni 2.99
Ca: 0.2500 0.7991 0.6978  4 Si 2.95-3.13, 2 Ni 2.99
Ca: 0.2500 0.4449 0.3872  3 Ni 2.96-3.11, 5 Si 2.99-3.20
Ca: 0.7500 0.5551 0.6128  3 Ni 2.96-3.11, 5 Si 2.99-3.20
Ca: 0.7500 0.9449 0.1128  3 Ni 2.96-3.11, 5 Si 2.99-3.20
Ca: 0.2500 0.0551 0.8872  3 Ni 2.96-3.11, 5 Si 2.99-3.20
Si: 0.2500 0.6874 0.4527  2 Ni 2.36
Si: 0.7500 0.3126 0.5473  2 Ni 2.36
Si: 0.7500 0.1874 0.0473  2 Ni 2.36
Si: 0.2500 0.8126 0.9527  2 Ni 2.36
Si: 0.2500 0.0212 0.2895  1 Ni 2.33
Si: 0.7500 0.9788 0.7105  1 Ni 2.33
Si: 0.7500 0.5212 0.2105  1 Ni 2.33
Si: 0.2500 0.4788 0.7895  1 Ni 2.33
Ni: 0.2500 0.1383 0.1284  3 Si 2.33-2.36
Ni: 0.7500 0.8617 0.8716  3 Si 2.33-2.36
Ni: 0.7500 0.6383 0.3716  3 Si 2.33-2.36
Ni: 0.2500 0.3617 0.6284  3 Si 2.33-2.36

Among the records above, which one has the highest theoretical density? CaZnNi2Se